[1]
## Li6ZnPd2 (PBE)

Data for crystalline Li6ZnPd2 at its relaxed geometry.

```
Li6ZnPd2
1.0
2.6325 0.2200 0.1765
1.8855 7.6673 1.2969
1.8855 2.9297 7.2033
Li Zn Pd
6 1 2
direct
0.1606 0.0000 0.3402 Li
0.8404 0.0000 0.6598 Li
0.8404 0.6598 0.0000 Li
0.4990 0.3400 0.6600 Li
0.4990 0.6600 0.3400 Li
0.1606 0.3402 0.0000 Li
0.0001 0.0000 0.0000 Zn
0.3336 0.3333 0.3333 Pd
0.6663 0.6667 0.6667 Pd
```

* SG: C2/m (12)

---

[2]
## Li2ZnPd7 (PBE)

Data for crystalline Li2ZnPd7 at its relaxed geometry.

```
Li2ZnPd7
1.0
4.0750 0.0000 0.0000
0.0000 6.9769 -0.0553
0.0000 -3.1275 6.2369
Li Zn Pd
2 1 7
direct
0.5000 0.6947 0.3053 Li
0.5000 0.3053 0.6947 Li
0.0000 0.0000 0.0000 Zn
0.0000 0.7857 0.2143 Pd
0.0000 0.2143 0.7857 Pd
0.5000 0.0739 0.3037 Pd
0.5000 0.9261 0.6963 Pd
0.5000 0.3037 0.0739 Pd
0.5000 0.6963 0.9261 Pd
0.5000 0.5000 0.5000 Pd
```

* SG: Cmmm (65)

---

[3]
## LiZn2Pd3 (PBE)

Data for crystalline LiZn2Pd3 at its relaxed geometry.

```
LiZn2Pd3
1.0
3.0394 0.0000 0.0000
0.0000 3.0394 0.0000
0.0000 0.0000 9.1199
Li Zn Pd
1 2 3
direct
0.5000 0.5000 0.5000 Li
0.5000 0.5000 0.8264 Zn
0.5000 0.5000 0.1736 Zn
0.0000 0.0000 0.0000 Pd
0.0000 0.0000 0.6626 Pd
0.0000 0.0000 0.3374 Pd
```

* SG: P4/mmm (123)

---

[4]
## Li5ZnPd4 (PBE)

Data for crystalline Li5ZnPd4 at its relaxed geometry.

```
Li5ZnPd4
1.0
-0.4340 2.9307 -3.1082
2.5990 -3.1118 -3.2969
-5.9466 -3.0427 0.9274
Li Zn Pd
5 1 4
direct
0.2957 0.1938 0.5914 Li
0.1043 0.3886 0.2085 Li
0.8957 0.6114 0.7915 Li
0.5000 0.5000 0.0000 Li
0.7043 0.8062 0.4086 Li
0.5000 0.0000 0.0000 Zn
0.7014 0.2994 0.4028 Pd
0.0969 0.8914 0.1937 Pd
0.2986 0.7006 0.5972 Pd
0.9031 0.1086 0.8063 Pd
```

* SG: C2/m (12)

---

Electronic total energy for the records above, in order: -2.86, -3.93, -3.88, -3.61 eV/atom